# 1
Compound: Ca5Bi2P
Source: Alexandria
Functional: PBE
Structure: optimized geometry

CIF file:
```
data_Ca5Bi2P
_symmetry_space_group_name_H-M 'C m c m'
_symmetry_Int_Tables_number 63
_symmetry_space_group_name_Hall '-C 2c 2'
_cell_length_a 5.9845
_cell_length_b 15.2208
_cell_length_c 14.6217
_cell_angle_alpha 90.00
_cell_angle_beta 90.00
_cell_angle_gamma 90.00
loop_
_atom_site_label
_atom_site_type_symbol
_atom_site_fract_x
_atom_site_fract_y
_atom_site_fract_z
_atom_site_occupancy
Ca1 Ca 0.0000 0.0541 0.1221 1
Ca2 Ca 0.0000 0.2761 0.7500 1
Ca3 Ca 0.0000 0.2998 0.0894 1
Bi1 Bi 0.0000 0.1464 0.5709 1
P1 P 0.0000 0.1915 0.2500 1
```

- formation enthalpy at 0 K (eV per atom) = -0.73
- mass density (g/cm3) = 3.24
- energy (eV/atom) = -3.6248


# 2
Compound: Ca3BiP
Source: Alexandria
Functional: PBE
Structure: optimized geometry

CIF file:
```
data_Ca3BiP
_symmetry_space_group_name_H-M 'R -3'
_symmetry_Int_Tables_number 148
_symmetry_space_group_name_Hall '-R 3'
_cell_length_a 7.6239
_cell_length_b 7.6239
_cell_length_c 20.3061
_cell_angle_alpha 90.00
_cell_angle_beta 90.00
_cell_angle_gamma 120.00
loop_
_atom_site_label
_atom_site_type_symbol
_atom_site_fract_x
_atom_site_fract_y
_atom_site_fract_z
_atom_site_occupancy
Ca1 Ca 0.0274 0.4005 0.4211 1
Bi1 Bi 0.0000 0.0000 0.3669 1
P1 P 0.0000 0.0000 0.1521 1
```

- formation enthalpy at 0 K (eV per atom) = -0.94
- mass density (g/cm3) = 3.51
- energy (eV/atom) = -3.9993


# 3
Compound: Ca3BiP
Source: Alexandria
Functional: PBE
Structure: optimized geometry

CIF file:
```
data_Ca3BiP
_symmetry_space_group_name_H-M 'I -4 m 2'
_symmetry_Int_Tables_number 119
_symmetry_space_group_name_Hall 'I -4 -2'
_cell_length_a 5.8559
_cell_length_b 5.8559
_cell_length_c 22.5281
_cell_angle_alpha 90.00
_cell_angle_beta 90.00
_cell_angle_gamma 90.00
loop_
_atom_site_label
_atom_site_type_symbol
_atom_site_fract_x
_atom_site_fract_y
_atom_site_fract_z
_atom_site_occupancy
Ca1 Ca 0.0000 0.0000 0.2056 1
Ca2 Ca 0.0000 0.2359 0.6216 1
Bi1 Bi 0.0000 0.0000 0.5000 1
Bi2 Bi 0.0000 0.5000 0.7500 1
P1 P 0.0000 0.5000 0.1566 1
```

- formation enthalpy at 0 K (eV per atom) = -0.09
- mass density (g/cm3) = 3.10
- energy (eV/atom) = -3.1521


# 4
Compound: Ca8Bi5P
Source: Alexandria
Functional: PBE
Structure: optimized geometry

CIF file:
```
data_Ca8Bi5P
_symmetry_space_group_name_H-M 'I -4'
_symmetry_Int_Tables_number 82
_symmetry_space_group_name_Hall 'I -4'
_cell_length_a 9.4984
_cell_length_b 9.4984
_cell_length_c 9.6540
_cell_angle_alpha 90.00
_cell_angle_beta 90.00
_cell_angle_gamma 90.00
loop_
_atom_site_label
_atom_site_type_symbol
_atom_site_fract_x
_atom_site_fract_y
_atom_site_fract_z
_atom_site_occupancy
Ca1 Ca 0.0685 0.1995 0.3029 1
Ca2 Ca 0.0743 0.3304 0.9614 1
Bi1 Bi 0.0000 0.0000 0.0000 1
Bi2 Bi 0.1212 0.2526 0.6321 1
P1 P 0.0000 0.5000 0.2500 1
```

- formation enthalpy at 0 K (eV per atom) = -0.87
- mass density (g/cm3) = 5.32
- energy (eV/atom) = -3.7825


# 5
Compound: Ca3BiP
Source: Alexandria
Functional: PBE
Structure: optimized geometry

CIF file:
```
data_Ca3BiP
_symmetry_space_group_name_H-M 'P n m a'
_symmetry_Int_Tables_number 62
_symmetry_space_group_name_Hall '-P 2ac 2n'
_cell_length_a 8.1357
_cell_length_b 10.2369
_cell_length_c 8.0251
_cell_angle_alpha 90.00
_cell_angle_beta 90.00
_cell_angle_gamma 90.00
loop_
_atom_site_label
_atom_site_type_symbol
_atom_site_fract_x
_atom_site_fract_y
_atom_site_fract_z
_atom_site_occupancy
Ca1 Ca 0.1383 0.2500 0.1781 1
Ca2 Ca 0.1470 0.0648 0.6492 1
Bi1 Bi 0.0000 0.0000 0.0000 1
P1 P 0.0450 0.7500 0.5193 1
```

- formation enthalpy at 0 K (eV per atom) = -0.81
- mass density (g/cm3) = 3.58
- energy (eV/atom) = -3.8729


# 6
Compound: CaBiP3
Source: Alexandria
Functional: PBE
Structure: optimized geometry

CIF file:
```
data_CaBiP3
_symmetry_space_group_name_H-M 'P m -3 m'
_symmetry_Int_Tables_number 221
_symmetry_space_group_name_Hall '-P 4 2 3'
_cell_length_a 5.2381
_cell_length_b 5.2381
_cell_length_c 5.2381
_cell_angle_alpha 90.00
_cell_angle_beta 90.00
_cell_angle_gamma 90.00
loop_
_atom_site_label
_atom_site_type_symbol
_atom_site_fract_x
_atom_site_fract_y
_atom_site_fract_z
_atom_site_occupancy
Ca1 Ca 0.0000 0.0000 0.0000 1
Bi1 Bi 0.5000 0.5000 0.5000 1
P1 P 0.0000 0.5000 0.5000 1
```

- formation enthalpy at 0 K (eV per atom) = 0.63
- mass density (g/cm3) = 3.95
- energy (eV/atom) = -3.7920


# 7
Compound: CaBiP2
Source: Alexandria
Functional: PBE
Structure: optimized geometry

CIF file:
```
data_CaBiP2
_symmetry_space_group_name_H-M 'I -4 2 d'
_symmetry_Int_Tables_number 122
_symmetry_space_group_name_Hall 'I -4 2bw'
_cell_length_a 6.4942
_cell_length_b 6.4942
_cell_length_c 12.5183
_cell_angle_alpha 90.00
_cell_angle_beta 90.00
_cell_angle_gamma 90.00
loop_
_atom_site_label
_atom_site_type_symbol
_atom_site_fract_x
_atom_site_fract_y
_atom_site_fract_z
_atom_site_occupancy
Ca1 Ca 0.0000 0.0000 0.0000 1
Bi1 Bi 0.0000 0.0000 0.5000 1
P1 P 0.2326 0.2500 0.6250 1
```

- formation enthalpy at 0 K (eV per atom) = -0.17
- mass density (g/cm3) = 3.91
- energy (eV/atom) = -4.3491


# 8
Compound: Ca3BiP
Source: Alexandria
Functional: PBE
Structure: optimized geometry

CIF file:
```
data_Ca3BiP
_symmetry_space_group_name_H-M 'C 1 2/m 1'
_symmetry_Int_Tables_number 12
_symmetry_space_group_name_Hall '-C 2y'
_cell_length_a 13.7861
_cell_length_b 4.0659
_cell_length_c 10.6587
_cell_angle_alpha 90.00
_cell_angle_beta 94.54
_cell_angle_gamma 90.00
loop_
_atom_site_label
_atom_site_type_symbol
_atom_site_fract_x
_atom_site_fract_y
_atom_site_fract_z
_atom_site_occupancy
Ca1 Ca 0.0245 0.0000 0.3733 1
Ca2 Ca 0.1132 0.5000 0.8901 1
Ca3 Ca 0.2444 0.5000 0.3521 1
Bi1 Bi 0.1292 0.0000 0.1300 1
P1 P 0.1201 0.5000 0.5760 1
```

- formation enthalpy at 0 K (eV per atom) = -0.82
- mass density (g/cm3) = 4.02
- energy (eV/atom) = -3.8790


# 9
Compound: Ca3BiP
Source: Alexandria
Functional: PBE
Structure: optimized geometry

CIF file:
```
data_Ca3BiP
_symmetry_space_group_name_H-M 'A m m 2'
_symmetry_Int_Tables_number 38
_symmetry_space_group_name_Hall 'A 2 -2'
_cell_length_a 4.6482
_cell_length_b 9.3776
_cell_length_c 8.3479
_cell_angle_alpha 90.00
_cell_angle_beta 90.00
_cell_angle_gamma 90.00
loop_
_atom_site_label
_atom_site_type_symbol
_atom_site_fract_x
_atom_site_fract_y
_atom_site_fract_z
_atom_site_occupancy
Ca1 Ca 0.0000 0.0000 0.0000 1
Ca2 Ca 0.5000 0.1735 0.3924 1
Bi1 Bi 0.5000 0.0000 0.7532 1
P1 P 0.0000 0.0000 0.3281 1
```

- formation enthalpy at 0 K (eV per atom) = -0.64
- mass density (g/cm3) = 3.29
- energy (eV/atom) = -3.6991


# 10
Compound: Ca3BiP
Source: Alexandria
Functional: PBE
Structure: optimized geometry

CIF file:
```
data_Ca3BiP
_symmetry_space_group_name_H-M 'P 1 21/c 1'
_symmetry_Int_Tables_number 14
_symmetry_space_group_name_Hall '-P 2ybc'
_cell_length_a 8.3050
_cell_length_b 7.4862
_cell_length_c 10.6247
_cell_angle_alpha 90.00
_cell_angle_beta 108.58
_cell_angle_gamma 90.00
loop_
_atom_site_label
_atom_site_type_symbol
_atom_site_fract_x
_atom_site_fract_y
_atom_site_fract_z
_atom_site_occupancy
Ca1 Ca 0.0170 0.0933 0.2158 1
Ca2 Ca 0.2623 0.5183 0.0719 1
Ca3 Ca 0.3159 0.5059 0.5699 1
Bi1 Bi 0.3725 0.7272 0.8460 1
P1 P 0.0372 0.2347 0.9665 1
```

- formation enthalpy at 0 K (eV per atom) = -0.92
- mass density (g/cm3) = 3.82
- energy (eV/atom) = -3.9764


# 11
Compound: Ca12Bi3P5
Source: Alexandria
Functional: PBE
Structure: optimized geometry

CIF file:
```
data_Ca12Bi3P5
_symmetry_space_group_name_H-M 'I a -3 d'
_symmetry_Int_Tables_number 230
_symmetry_space_group_name_Hall '-I 4bd 2c 3'
_cell_length_a 17.6245
_cell_length_b 17.6245
_cell_length_c 17.6245
_cell_angle_alpha 90.00
_cell_angle_beta 90.00
_cell_angle_gamma 90.00
loop_
_atom_site_label
_atom_site_type_symbol
_atom_site_fract_x
_atom_site_fract_y
_atom_site_fract_z
_atom_site_occupancy
Ca1 Ca 0.0264 0.0580 0.6504 1
Bi1 Bi 0.0000 0.2500 0.1250 1
P1 P 0.0000 0.0000 0.0000 1
P2 P 0.0000 0.2500 0.3750 1
```

- formation enthalpy at 0 K (eV per atom) = -0.90
- mass density (g/cm3) = 3.06
- energy (eV/atom) = -4.0393


# 12
Compound: Ca3BiP
Source: Alexandria
Functional: PBE
Structure: optimized geometry

CIF file:
```
data_Ca3BiP
_symmetry_space_group_name_H-M 'P m -3 m'
_symmetry_Int_Tables_number 221
_symmetry_space_group_name_Hall '-P 4 2 3'
_cell_length_a 5.4225
_cell_length_b 5.4225
_cell_length_c 5.4225
_cell_angle_alpha 90.00
_cell_angle_beta 90.00
_cell_angle_gamma 90.00
loop_
_atom_site_label
_atom_site_type_symbol
_atom_site_fract_x
_atom_site_fract_y
_atom_site_fract_z
_atom_site_occupancy
Ca1 Ca 0.0000 0.0000 0.5000 1
Bi1 Bi 0.5000 0.5000 0.5000 1
P1 P 0.0000 0.0000 0.0000 1
```

- formation enthalpy at 0 K (eV per atom) = -0.97
- mass density (g/cm3) = 3.75
- energy (eV/atom) = -4.0287


# 13
Compound: CaBi2PPb
Source: Alexandria
Functional: PBE
Structure: optimized geometry

CIF file:
```
data_CaBi2PPb
_symmetry_space_group_name_H-M 'P 4/m m m'
_symmetry_Int_Tables_number 123
_symmetry_space_group_name_Hall '-P 4 2'
_cell_length_a 5.8310
_cell_length_b 5.8310
_cell_length_c 5.8714
_cell_angle_alpha 90.00
_cell_angle_beta 90.00
_cell_angle_gamma 90.00
loop_
_atom_site_label
_atom_site_type_symbol
_atom_site_fract_x
_atom_site_fract_y
_atom_site_fract_z
_atom_site_occupancy
Ca1 Ca 0.0000 0.0000 0.0000 1
Bi1 Bi 0.0000 0.5000 0.5000 1
P1 P 0.5000 0.5000 0.0000 1
Pb1 Pb 0.0000 0.0000 0.5000 1
```

- formation enthalpy at 0 K (eV per atom) = 0.82
- mass density (g/cm3) = 5.79
- energy (eV/atom) = -2.9574


# 14
Compound: CaBiP2Pd5
Source: Alexandria
Functional: PBE
Structure: optimized geometry

CIF file:
```
data_CaBiP2Pd5
_symmetry_space_group_name_H-M 'P 4/m m m'
_symmetry_Int_Tables_number 123
_symmetry_space_group_name_Hall '-P 4 2'
_cell_length_a 4.3098
_cell_length_b 4.3098
_cell_length_c 10.1204
_cell_angle_alpha 90.00
_cell_angle_beta 90.00
_cell_angle_gamma 90.00
loop_
_atom_site_label
_atom_site_type_symbol
_atom_site_fract_x
_atom_site_fract_y
_atom_site_fract_z
_atom_site_occupancy
Ca1 Ca 0.0000 0.0000 0.0000 1
Bi1 Bi 0.0000 0.0000 0.5000 1
P1 P 0.5000 0.5000 0.2229 1
Pd1 Pd 0.0000 0.5000 0.3091 1
Pd2 Pd 0.5000 0.5000 0.0000 1
```

- formation enthalpy at 0 K (eV per atom) = -0.49
- mass density (g/cm3) = 7.45
- energy (eV/atom) = -5.2274


# 15
Compound: Ca2BiPPd6
Source: Alexandria
Functional: PBE
Structure: optimized geometry

CIF file:
```
data_Ca2BiPPd6
_symmetry_space_group_name_H-M 'P m m n'
_symmetry_Int_Tables_number 59
_cell_length_a 5.6912
_cell_length_b 8.8611
_cell_length_c 8.3730
_cell_angle_alpha 90.00
_cell_angle_beta 90.00
_cell_angle_gamma 90.00
loop_
_symmetry_equiv_pos_as_xyz
'x,y,z'
'-x,-y,-z'
'-x+1/2,-y+1/2,z'
'x+1/2,y+1/2,-z'
'x+1/2,-y,-z'
'-x+1/2,y,z'
'-x,y+1/2,-z'
'x,-y+1/2,z'
loop_
_atom_site_label
_atom_site_type_symbol
_atom_site_fract_x
_atom_site_fract_y
_atom_site_fract_z
_atom_site_occupancy
Ca1 Ca 0.2500 0.0074 0.2413 1
Bi1 Bi 0.2500 0.7500 0.7977 1
P1 P 0.2500 0.2500 0.7156 1
Pd1 Pd 0.0021 0.7500 0.5076 1
Pd2 Pd 0.0073 0.2500 0.9349 1
Pd3 Pd 0.2500 0.0051 0.6108 1
```

- formation enthalpy at 0 K (eV per atom) = -0.61
- mass density (g/cm3) = 7.54
- energy (eV/atom) = -5.0515


# 16
Compound: Ca2BiPPt6
Source: Alexandria
Functional: PBE
Structure: optimized geometry

CIF file:
```
data_Ca2BiPPt6
_symmetry_space_group_name_H-M 'P m m n'
_symmetry_Int_Tables_number 59
_cell_length_a 5.6288
_cell_length_b 8.5730
_cell_length_c 8.7663
_cell_angle_alpha 90.00
_cell_angle_beta 90.00
_cell_angle_gamma 90.00
loop_
_symmetry_equiv_pos_as_xyz
'x,y,z'
'-x,-y,-z'
'-x+1/2,-y+1/2,z'
'x+1/2,y+1/2,-z'
'x+1/2,-y,-z'
'-x+1/2,y,z'
'-x,y+1/2,-z'
'x,-y+1/2,z'
loop_
_atom_site_label
_atom_site_type_symbol
_atom_site_fract_x
_atom_site_fract_y
_atom_site_fract_z
_atom_site_occupancy
Ca1 Ca 0.2500 0.0013 0.2433 1
Bi1 Bi 0.2500 0.2500 0.8015 1
P1 P 0.2500 0.7500 0.7282 1
Pt1 Pt 0.0023 0.2500 0.5036 1
Pt2 Pt 0.0045 0.7500 0.9366 1
Pt3 Pt 0.2500 0.5034 0.6083 1
```

- formation enthalpy at 0 K (eV per atom) = -0.64
- mass density (g/cm3) = 11.70
- energy (eV/atom) = -5.5974


# 17
Compound: CaBi2P2Pt7
Source: Alexandria
Functional: PBE
Structure: optimized geometry

CIF file:
```
data_CaBi2P2Pt7
_symmetry_space_group_name_H-M 'I 4/m m m'
_symmetry_Int_Tables_number 139
_symmetry_space_group_name_Hall '-I 4 2'
_cell_length_a 4.0154
_cell_length_b 4.0154
_cell_length_c 29.6462
_cell_angle_alpha 90.00
_cell_angle_beta 90.00
_cell_angle_gamma 90.00
loop_
_atom_site_label
_atom_site_type_symbol
_atom_site_fract_x
_atom_site_fract_y
_atom_site_fract_z
_atom_site_occupancy
Ca1 Ca 0.0000 0.0000 0.0000 1
Bi1 Bi 0.0000 0.0000 0.2101 1
P1 P 0.0000 0.0000 0.3840 1
Pt1 Pt 0.0000 0.0000 0.3065 1
Pt2 Pt 0.0000 0.0000 0.5000 1
Pt3 Pt 0.0000 0.5000 0.0743 1
```

- formation enthalpy at 0 K (eV per atom) = -0.54
- mass density (g/cm3) = 13.10
- energy (eV/atom) = -5.7793


# 18
Compound: Ca2Pu2Bi2P
Source: Alexandria
Functional: PBE
Structure: optimized geometry

CIF file:
```
data_Ca2Pu2Bi2P
_symmetry_space_group_name_H-M 'I 4/m m m'
_symmetry_Int_Tables_number 139
_symmetry_space_group_name_Hall '-I 4 2'
_cell_length_a 5.2663
_cell_length_b 5.2663
_cell_length_c 16.5749
_cell_angle_alpha 90.00
_cell_angle_beta 90.00
_cell_angle_gamma 90.00
loop_
_atom_site_label
_atom_site_type_symbol
_atom_site_fract_x
_atom_site_fract_y
_atom_site_fract_z
_atom_site_occupancy
Ca1 Ca 0.0000 0.0000 0.1728 1
Pu1 Pu 0.0000 0.5000 0.0000 1
Bi1 Bi 0.0000 0.0000 0.3667 1
P1 P 0.0000 0.0000 0.0000 1
```

- formation enthalpy at 0 K (eV per atom) = -0.70
- mass density (g/cm3) = 7.35
- energy (eV/atom) = -7.2531